Computed, not measured: crystalline Eu3MnO at its relaxed geometry at the PBE with a Hubbard U level of DFT.

Summary:
DOS at the Fermi energy (states/eV per cell): 18.08
Size of the total moment (Bohr magnetons per cell): 26.934
DFT total energy (eV per atom): -9.5616

a = 5.115 Å, b = 5.115 Å, c = 5.115 Å
α = 90.00°, β = 90.00°, γ = 90.00°
Space group Pm-3m (No. 221)
Symmetry-distinct sites (fractional):
Eu (0.000, 0.000, 0.500) [3 per cell]
Mn (0.500, 0.500, 0.500) [1 per cell]
O (0.000, 0.000, 0.000) [1 per cell]